The following is a GGA-PBE calculation of a geometry-optimized BaCo2Sb structure, from the Alexandria database.

Unit cell a=3.327 b=3.327 c=7.795 alpha=90.00 beta=90.00 gamma=90.00
Space group P4mm (No. 99)
One atom of each set of equivalent atoms:
Ba 0.000 0.000 0.000 (multiplicity 1)
Co 0.000 0.000 0.429 (multiplicity 1)
Co 0.500 0.500 0.308 (multiplicity 1)
Sb 0.500 0.500 0.633 (multiplicity 1)

Output
- total magnetic moment (μB/f.u.) = 3.06
- energy (Ha/atom) = -0.1768
- formation energy from raw total energies (eV per atom) = 0.25
- V (Å³ per atom) = 21.572
- density of states at the Fermi level (states/eV per cell) = 4.60